A plane-wave DFT calculation with GGA-PBE was carried out for an optimized crystal structure of PmPaZnGe.

The structure in POSCAR format:
```
PmPaZnGe
1.0
0.000 3.596 3.596
3.596 0.000 3.596
3.596 3.596 0.000
Pm Pa Zn Ge
1 1 1 1
Direct
0.000 0.000 0.000
0.500 0.500 0.500
0.750 0.750 0.750
0.250 0.250 0.250
```

Calculated values
Space-group type: No. 216
Formation enthalpy at 0 K in eV per formula unit: -0.9